1.
Computed, not measured: crystalline VReHRh2 at its relaxed geometry at the PBE level of DFT.

Summary:
The total energy is -0.594 Ry/atom. The value obtained for the density of states at the Fermi level is 3.4 states/eV per cell. The energy above the most stable polymorph in this dataset is 0.000 eV/atom.

a b c (Å): 3.813 3.813 4.006
angles (deg): 90.00 90.00 90.00
Space group P4/mmm (No. 123)
One atom of each set of equivalent atoms:
V 0.000 0.000 0.000 (multiplicity 1)
Re 0.500 0.500 0.000 (multiplicity 1)
H 0.000 0.000 0.500 (multiplicity 1)
Rh 0.000 0.500 0.500 (multiplicity 2)

***

2.
Computed, not measured: crystalline V2ReHRh at its relaxed geometry at the PBE level of DFT.

Summary:
The total energy is -0.617 Ry/atom. The value obtained for the density of states at the Fermi level is 5.4 states/eV per cell. The energy above the most stable polymorph in this dataset is 0.026 eV/atom.

a b c (Å): 3.920 3.920 3.779
angles (deg): 90.00 90.00 90.00
Space group P4/mmm (No. 123)
One atom of each set of equivalent atoms:
V 0.000 0.500 0.000 (multiplicity 2)
Re 0.000 0.000 0.500 (multiplicity 1)
H 0.000 0.000 0.000 (multiplicity 1)
Rh 0.500 0.500 0.500 (multiplicity 1)

***

3.
Computed, not measured: crystalline Re2HRhW at its relaxed geometry at the PBE level of DFT.

Summary:
The total energy is -0.709 Ry/atom. The value obtained for the density of states at the Fermi level is 3.6 states/eV per cell. The energy above the most stable polymorph in this dataset is 0.036 eV/atom.

a b c (Å): 3.936 3.936 4.010
angles (deg): 90.00 90.00 90.00
Space group P4/mmm (No. 123)
One atom of each set of equivalent atoms:
Re 0.000 0.500 0.000 (multiplicity 2)
H 0.000 0.000 0.000 (multiplicity 1)
Rh 0.500 0.500 0.500 (multiplicity 1)
W 0.000 0.000 0.500 (multiplicity 1)

***

Copy entry 3 word for word.
Computed, not measured: crystalline Re2HRhW at its relaxed geometry at the PBE level of DFT.

Summary:
The total energy is -0.709 Ry/atom. The value obtained for the density of states at the Fermi level is 3.6 states/eV per cell. The energy above the most stable polymorph in this dataset is 0.036 eV/atom.

a b c (Å): 3.936 3.936 4.010
angles (deg): 90.00 90.00 90.00
Space group P4/mmm (No. 123)
One atom of each set of equivalent atoms:
Re 0.000 0.500 0.000 (multiplicity 2)
H 0.000 0.000 0.000 (multiplicity 1)
Rh 0.500 0.500 0.500 (multiplicity 1)
W 0.000 0.000 0.500 (multiplicity 1)

***

Copy entry 3 word for word.
Computed, not measured: crystalline Re2HRhW at its relaxed geometry at the PBE level of DFT.

Summary:
The total energy is -0.709 Ry/atom. The value obtained for the density of states at the Fermi level is 3.6 states/eV per cell. The energy above the most stable polymorph in this dataset is 0.036 eV/atom.

a b c (Å): 3.936 3.936 4.010
angles (deg): 90.00 90.00 90.00
Space group P4/mmm (No. 123)
One atom of each set of equivalent atoms:
Re 0.000 0.500 0.000 (multiplicity 2)
H 0.000 0.000 0.000 (multiplicity 1)
Rh 0.500 0.500 0.500 (multiplicity 1)
W 0.000 0.000 0.500 (multiplicity 1)